Here is a relaxed BaCdGaP2 crystal from Alexandria. Energies are from PBE-GGA.

Cell lengths 5.0785, 7.0029, 7.7186 Å; angles 96.28, 90.00, 90.00 degrees
Sites, in units of the cell vectors:
Ga  0.0000  0.0000  0.5000
Ba  0.7686  0.5000  0.2500
P  0.2693  0.2454  0.0849
P  0.2693  0.7546  0.4151
P  0.7307  0.7546  0.9151
Ga  0.0000  0.0000  0.0000
Cd  0.4608  0.0000  0.7500
Cd  0.5392  0.0000  0.2500
P  0.7307  0.2454  0.5849
Ba  0.2314  0.5000  0.7500

Results
The symmetry is P2/c, No. 13. The value obtained for the total energy is -3.690 eV/atom. The calculation puts the spin magnetization at 0.00 μB/f.u. Its formation energy is -0.353 eV per atom.